Entry 1:
LiTb2Dy | GGA-PBE | optimized geometry

For the final energy, the calculation gives -0.2848 Ry per atom. The energy above the most stable polymorph in this dataset is 0.0000 eV per atom. As for the density of states at the Fermi level: 5.38 states/eV/f.u. The calculated volume comes out at 28.80 A^3/atom. For the formation energy, the calculation gives 0.07 eV/atom.

The structure belongs to space group P4/mmm (No. 123); the cell edges are 3.6064, 3.6064 and 8.8581 Å and the angles 90.00°, 90.00° and 90.00°. The distinct sites, in fractional coordinates, are Li at (0.0000, 0.0000, 0.0000), Tb at (0.5000, 0.5000, 0.2247) and Dy at (0.0000, 0.0000, 0.5000).


Entry 2:
Si2AgPt | GGA-PBE | optimized geometry

For the final energy, the calculation gives -0.3517 Ry per atom. The energy above the most stable polymorph in this dataset is 0.2730 eV per atom. As for the density of states at the Fermi level: 0.99 states/eV/f.u. The calculated volume comes out at 15.67 A^3/atom. The calculation puts the formation energy from raw total energies at 0.149 eV/atom.

The structure belongs to space group Cmmm (No. 65); the cell edges are 5.8524, 7.2081 and 2.9711 Å and the angles 90.00°, 90.00° and 90.00°. The distinct sites, in fractional coordinates, are Si at (0.2500, 0.2500, 0.0000), Ag at (0.0000, 0.0000, 0.5000) and Pt at (0.0000, 0.5000, 0.5000).


Entry 3:
Na6Sr12Zn | GGA-PBE | optimized geometry

For the final energy, the calculation gives -0.1088 Ry per atom. As for the density of states at the Fermi level: 15.55 states/eV/f.u. The calculated volume comes out at 47.02 A^3/atom. For the formation energy, the calculation gives 0.07 eV/atom.

The structure belongs to space group R-3 (No. 148, hexagonal axes); the cell edges are 13.4678, 13.4678 and 17.0625 Å and the angles 90.00°, 90.00° and 120.00°. The distinct sites, in fractional coordinates, are Na at (0.0387, 0.6005, 0.2040), Sr at (0.0279, 0.8459, 0.3269), Sr at (0.0561, 0.2087, 0.9078) and Zn at (0.0000, 0.0000, 0.5000).


Entry 4:
AcThSe | GGA-PBE | optimized geometry

For the final energy, the calculation gives -0.4348 Ry per atom. The energy above the most stable polymorph in this dataset is 0.0000 eV per atom. As for the density of states at the Fermi level: 3.20 states/eV/f.u. The calculated volume comes out at 32.00 A^3/atom. The calculation puts the formation energy from raw total energies at -0.912 eV/atom.

The structure belongs to space group P2_1/m (No. 11); the cell edges are 5.1728, 3.7878 and 9.7992 Å and the angles 90.00°, 90.01° and 90.00°. The distinct sites, in fractional coordinates, are Ac at (0.2495, 0.2500, 0.1591), Th at (0.2501, 0.7500, 0.5609) and Se at (0.2505, 0.2500, 0.8333).


Entry 5:
RbScI2N | GGA-PBE | optimized geometry

For the final energy, the calculation gives -0.3317 Ry per atom. The energy above the most stable polymorph in this dataset is 0.0000 eV per atom. As for the density of states at the Fermi level: 2.06 states/eV/f.u. The calculated volume comes out at 31.40 A^3/atom. The calculation puts the formation energy from raw total energies at -0.769 eV/atom.

The structure belongs to space group P4/mmm (No. 123); the cell edges are 6.1778, 6.1778 and 4.1134 Å and the angles 90.00°, 90.00° and 90.00°. The distinct sites, in fractional coordinates, are Rb at (0.0000, 0.0000, 0.0000), Sc at (0.5000, 0.5000, 0.5000), I at (0.0000, 0.5000, 0.5000) and N at (0.5000, 0.5000, 0.0000).


Entry 6:
ZrGaBr3 | GGA-PBE | optimized geometry

For the final energy, the calculation gives -0.2887 Ry per atom. The energy above the most stable polymorph in this dataset is 0.0000 eV per atom. As for the density of states at the Fermi level: 4.74 states/eV/f.u. The calculated volume comes out at 31.20 A^3/atom. The calculation puts the formation energy from raw total energies at -0.609 eV/atom.

The structure belongs to space group Pm-3m (No. 221); the cell edges are 5.3832, 5.3832 and 5.3832 Å and the angles 90.00°, 90.00° and 90.00°. The distinct sites, in fractional coordinates, are Zr at (0.0000, 0.0000, 0.0000), Ga at (0.5000, 0.5000, 0.5000) and Br at (0.0000, 0.0000, 0.5000).